The following is a DFT calculation (PBE-GGA) of SiAuI2N after structural relaxation.

Calculated values
As for the electronic total energy: -14.34 eV/f.u. The value obtained for the formation energy from raw total energies is 1.157 eV/atom. As for the calculated volume: 137 Å³ per cell.

a = 6.0245 Å, b = 6.0245 Å, c = 3.7883 Å
α = 90.00°, β = 90.00°, γ = 90.00°
Closest atoms and distances in Å follow each position.
Space group P4/mmm (No. 123)
Asymmetric unit:
Si  0.0000  0.0000  0.0000 [1 per cell]  8 I 3.56, 2 Si 3.79
Au  0.5000  0.5000  0.5000 [1 per cell]  2 N 1.89
I  0.0000  0.5000  0.5000 [2 per cell]  2 Au 3.01
N  0.5000  0.5000  0.0000 [1 per cell]  2 Au 1.89